# 1
Compound: DyNpIrRh
Source: the Alexandria database
Functional: PBE
Structure: relaxed

a = 4.837 Å, b = 4.837 Å, c = 4.837 Å
α = 60.00°, β = 60.00°, γ = 60.00°
Positions (direct):
Dy1 0.000 0.000 0.000
Np1 0.500 0.500 0.500
Ir1 0.750 0.750 0.750
Rh1 0.250 0.250 0.250

Values from the calculation:
- energy relative to the elements (eV/atom) = -0.521
- symmetry = F-43m
- M_tot (μB/f.u.) = 3.5



# 2
Compound: DyNpIrRu
Source: the Alexandria database
Functional: PBE
Structure: relaxed

a = 4.811 Å, b = 4.811 Å, c = 4.811 Å
α = 60.00°, β = 60.00°, γ = 60.00°
Positions (direct):
Dy1 0.000 0.000 0.000
Np1 0.500 0.500 0.500
Ir1 0.250 0.250 0.250
Ru1 0.750 0.750 0.750

Values from the calculation:
- energy relative to the elements (eV/atom) = -0.346
- symmetry = F-43m
- M_tot (μB/f.u.) = 3.1



# 3
Compound: Dy2IrO
Source: the Alexandria database
Functional: PBE
Structure: relaxed

a = 6.929 Å, b = 6.929 Å, c = 6.929 Å
α = 30.27°, β = 30.27°, γ = 30.27°
Positions (direct):
Dy1 0.241 0.241 0.241
Dy2 0.759 0.759 0.759
Ir1 0.000 0.000 0.000
O1 0.500 0.500 0.500

Values from the calculation:
- symmetry = R-3m
- ΔE_f (raw) (eV/atom) = -1.611
- M_tot (μB/f.u.) = 0.0



# 4
Compound: DyIrO4
Source: the Alexandria database
Functional: PBE
Structure: relaxed

a = 7.628 Å, b = 5.347 Å, c = 7.400 Å
α = 90.00°, β = 99.02°, γ = 90.00°
Positions (direct):
Dy1 0.150 0.218 0.391
Dy2 0.150 0.282 0.891
Dy3 0.850 0.718 0.109
Dy4 0.850 0.782 0.609
Ir1 0.340 0.728 0.201
Ir2 0.340 0.772 0.701
Ir3 0.660 0.228 0.299
Ir4 0.660 0.272 0.799
O1 0.111 0.523 0.175
O2 0.111 0.977 0.675
O3 0.189 0.014 0.120
O4 0.189 0.486 0.620
O5 0.333 0.623 0.945
O6 0.333 0.877 0.445
O7 0.439 0.093 0.809
O8 0.439 0.407 0.309
O9 0.561 0.593 0.691
O10 0.561 0.907 0.191
O11 0.667 0.123 0.555
O12 0.667 0.377 0.055
O13 0.811 0.514 0.380
O14 0.811 0.986 0.880
O15 0.889 0.023 0.325
O16 0.889 0.477 0.825

Values from the calculation:
- symmetry = P2_1/c
- ΔE_f (raw) (eV/atom) = -1.905
- M_tot (μB/f.u.) = 0.5



# 5
Compound: Dy3IrO6
Source: the Alexandria database
Functional: PBE
Structure: relaxed

a = 6.558 Å, b = 6.558 Å, c = 6.558 Å
α = 94.30°, β = 94.30°, γ = 94.30°
Positions (direct):
Dy1 0.070 0.584 0.760
Dy2 0.240 0.930 0.416
Dy3 0.416 0.240 0.930
Dy4 0.584 0.760 0.070
Dy5 0.760 0.070 0.584
Dy6 0.930 0.416 0.240
Ir1 0.000 0.000 0.000
Ir2 0.500 0.500 0.500
O1 0.049 0.916 0.694
O2 0.084 0.306 0.951
O3 0.193 0.581 0.435
O4 0.306 0.951 0.084
O5 0.419 0.565 0.807
O6 0.435 0.193 0.581
O7 0.565 0.807 0.419
O8 0.581 0.435 0.193
O9 0.694 0.049 0.916
O10 0.807 0.419 0.565
O11 0.916 0.694 0.049
O12 0.951 0.084 0.306

Values from the calculation:
- symmetry = R-3
- ΔE_f (raw) (eV/atom) = -2.791
- M_tot (μB/f.u.) = 0.0



# 6
Compound: Dy3IrO6
Source: the Alexandria database
Functional: PBE
Structure: relaxed

a = 7.085 Å, b = 7.085 Å, c = 5.690 Å
α = 90.00°, β = 90.00°, γ = 102.76°
Positions (direct):
Dy1 0.098 0.902 0.500
Dy2 0.195 0.405 0.550
Dy3 0.405 0.195 0.050
Dy4 0.595 0.805 0.550
Dy5 0.805 0.595 0.050
Dy6 0.902 0.098 0.000
Ir1 0.301 0.699 0.059
Ir2 0.699 0.301 0.559
O1 0.083 0.609 0.299
O2 0.141 0.176 0.279
O3 0.176 0.141 0.779
O4 0.286 0.714 0.733
O5 0.391 0.917 0.299
O6 0.447 0.553 0.291
O7 0.553 0.447 0.791
O8 0.609 0.083 0.799
O9 0.714 0.286 0.233
O10 0.824 0.859 0.279
O11 0.859 0.824 0.779
O12 0.917 0.391 0.799

Values from the calculation:
- symmetry = Cmc2_1
- ΔE_f (raw) (eV/atom) = -2.628
- M_tot (μB/f.u.) = 0.0



# 7
Compound: DyIr2O6
Source: the Alexandria database
Functional: PBE
Structure: relaxed

a = 5.257 Å, b = 5.257 Å, c = 4.822 Å
α = 90.00°, β = 90.00°, γ = 120.00°
Positions (direct):
Dy1 0.000 0.000 0.000
Ir1 0.333 0.667 0.500
Ir2 0.667 0.333 0.500
O1 0.000 0.358 0.723
O2 0.000 0.642 0.277
O3 0.358 0.000 0.723
O4 0.358 0.358 0.277
O5 0.642 0.000 0.277
O6 0.642 0.642 0.723

Values from the calculation:
- symmetry = P-31m
- ΔE_f (raw) (eV/atom) = -1.471
- M_tot (μB/f.u.) = 3.0



# 8
Compound: Dy5Ir2O12
Source: the Alexandria database
Functional: PBE
Structure: relaxed

a = 6.872 Å, b = 6.872 Å, c = 7.219 Å
α = 105.27°, β = 105.27°, γ = 52.02°
Positions (direct):
Dy1 0.000 0.000 0.000
Dy2 0.300 0.300 0.139
Dy3 0.307 0.307 0.667
Dy4 0.693 0.693 0.333
Dy5 0.700 0.700 0.861
Ir1 0.248 0.752 0.500
Ir2 0.752 0.248 0.500
O1 0.001 0.001 0.323
O2 0.097 0.600 0.927
O3 0.100 0.565 0.413
O4 0.400 0.903 0.073
O5 0.435 0.900 0.587
O6 0.499 0.499 0.686
O7 0.501 0.501 0.314
O8 0.565 0.100 0.413
O9 0.600 0.097 0.927
O10 0.900 0.435 0.587
O11 0.903 0.400 0.073
O12 0.999 0.999 0.677

Values from the calculation:
- symmetry = C2/m
- ΔE_f (raw) (eV/atom) = -2.626
- M_tot (μB/f.u.) = 0.5